[1]
Entry from Alexandria via LeMat-Bulk: a relaxed TiGe2S crystal (PBE).

Computed properties:
- density of states at the Fermi level (states/eV per atom) = 0.803
- formation energy from raw total energies (eV per atom) = 0.0847

Cell and atoms, written as CIF:
```
data_TiGe2S
_chemical_formula_sum 'Ti4 Ge8 S4'
_cell_length_a 7.360
_cell_length_b 7.360
_cell_length_c 5.246
_cell_angle_alpha 90.00
_cell_angle_beta 90.00
_cell_angle_gamma 90.00
_symmetry_space_group_name_H-M 'I -4 2 d'
_symmetry_Int_Tables_number 122
_symmetry_space_group_name_Hall 'I -4 2bw'
loop_
_atom_site_label
_atom_site_type_symbol
_atom_site_fract_x
_atom_site_fract_y
_atom_site_fract_z
Ti1 Ti 0.000 0.000 0.000
Ge1 Ge 0.249 0.250 0.125
S1 S 0.000 0.000 0.500
```

[2]
Entry from Alexandria via LeMat-Bulk: a relaxed TiGeS3 crystal (PBE).

Computed properties:
- density of states at the Fermi level (states/eV per atom) = 0.396
- formation energy from raw total energies (eV per atom) = -0.3520
- excess energy over the best structure of this formula in the dataset (eV per atom) = 0.537

Cell and atoms, written as CIF:
```
data_TiGeS3
_chemical_formula_sum 'Ti1 Ge1 S3'
_cell_length_a 4.701
_cell_length_b 4.701
_cell_length_c 4.701
_cell_angle_alpha 90.00
_cell_angle_beta 90.00
_cell_angle_gamma 90.00
_symmetry_space_group_name_H-M 'P m -3 m'
_symmetry_Int_Tables_number 221
_symmetry_space_group_name_Hall '-P 4 2 3'
loop_
_atom_site_label
_atom_site_type_symbol
_atom_site_fract_x
_atom_site_fract_y
_atom_site_fract_z
Ti1 Ti 0.000 0.000 0.000
Ge1 Ge 0.500 0.500 0.500
S1 S 0.000 0.000 0.500
```

[3]
Entry from Alexandria via LeMat-Bulk: a relaxed TiGeS2 crystal (PBE).

Computed properties:
- density of states at the Fermi level (states/eV per atom) = 0.047
- formation energy from raw total energies (eV per atom) = -0.1359

Cell and atoms, written as CIF:
```
data_TiGeS2
_chemical_formula_sum 'Ti3 Ge3 S6'
_cell_length_a 3.6462
_cell_length_b 3.6462
_cell_length_c 22.6670
_cell_angle_alpha 90.00
_cell_angle_beta 90.00
_cell_angle_gamma 120.00
_symmetry_space_group_name_H-M 'R -3 m'
_symmetry_Int_Tables_number 166
_symmetry_space_group_name_Hall '-R 3 2"'
loop_
_atom_site_label
_atom_site_type_symbol
_atom_site_fract_x
_atom_site_fract_y
_atom_site_fract_z
Ti1 Ti 0.0000 0.0000 0.0000
Ge1 Ge 0.0000 0.0000 0.5000
S1 S 0.0000 0.0000 0.1014
```

[4]
Entry from Alexandria via LeMat-Bulk: a relaxed TiGeS3 crystal (PBE).

Computed properties:
- formation energy from raw total energies (eV per atom) = -0.7497
- excess energy over the best structure of this formula in the dataset (eV per atom) = 0.139

Cell and atoms, written as CIF:
```
data_TiGeS3
_chemical_formula_sum 'Ti4 Ge4 S12'
_cell_length_a 3.886
_cell_length_b 20.992
_cell_length_c 6.303
_cell_angle_alpha 90.00
_cell_angle_beta 90.00
_cell_angle_gamma 90.00
_symmetry_space_group_name_H-M 'C m c 21'
_symmetry_Int_Tables_number 36
_symmetry_space_group_name_Hall 'C 2c -2'
loop_
_atom_site_label
_atom_site_type_symbol
_atom_site_fract_x
_atom_site_fract_y
_atom_site_fract_z
Ti1 Ti 0.000 0.113 0.000
Ge1 Ge 0.000 0.334 0.907
S1 S 0.000 0.118 0.651
S2 S 0.000 0.209 0.154
S3 S 0.000 0.430 0.660
```

Number 1: E_tot -5.230 eV per atom, magnetization 0.0 μB/cell. Number 2: E_tot -5.331 eV per atom, magnetization 0.0 μB/cell. Number 3: E_tot -5.328 eV per atom, magnetization 0.0 μB/cell. Number 4: E_tot -5.729 eV per atom, magnetization 0.0 μB/cell.